[1]
The following is a DFT calculation (PBE) of crystalline TaAl2Zn at its relaxed geometry.

The value obtained for the formation energy is -0.080 eV per atom. As for the uncorrected energy: -20.93 eV per cell. For the density of states at the Fermi level, the calculation gives 2.50 states/eV/f.u.

It has space group Pmm2 (No. 25), with a = 2.7979 Å, b = 4.5895 Å, c = 5.1312 Å, α = 90.00°, β = 90.00° and γ = 90.00°. The distinct sites, in fractional coordinates, are Ta at (0.0000, 0.0000, 0.0000), Al at (0.5000, 0.0000, 0.4961), Al at (0.5000, 0.5000, 0.2195) and Zn at (0.5000, 0.5000, 0.7403).

[2]
The following is a DFT calculation (PBE) of crystalline CaInAg at its relaxed geometry.

The value obtained for the formation energy is -0.291 eV per atom. As for the uncorrected energy: -16.93 eV per cell. For the density of states at the Fermi level, the calculation gives 1.39 states/eV/f.u.

It has space group I4mm (No. 107), with a = 3.7389 Å, b = 3.7389 Å, c = 10.6713 Å, α = 90.00°, β = 90.00° and γ = 90.00°. The distinct sites, in fractional coordinates, are Ca at (0.0000, 0.0000, 0.0000), In at (0.0000, 0.0000, 0.3091) and Ag at (0.0000, 0.0000, 0.6794).

[3]
The following is a DFT calculation (PBE) of crystalline Pm4DyTm2Mg at its relaxed geometry.

The value obtained for the formation energy is 0.008 eV per atom. As for the uncorrected energy: -34.08 eV per cell. For the density of states at the Fermi level, the calculation gives 10.39 states/eV/f.u.

It has space group P4/mmm (No. 123), with a = 5.0521 Å, b = 5.0521 Å, c = 9.8703 Å, α = 90.00°, β = 90.00° and γ = 90.00°. The distinct sites, in fractional coordinates, are Pm at (0.0000, 0.5000, 0.2453), Dy at (0.0000, 0.0000, 0.5000), Tm at (0.0000, 0.0000, 0.0000), Tm at (0.5000, 0.5000, 0.5000) and Mg at (0.5000, 0.5000, 0.0000).

[4]
The following is a DFT calculation (PBE) of crystalline BaNa2La2 at its relaxed geometry.

The value obtained for the formation energy is 0.311 eV per atom. As for the uncorrected energy: -25.72 eV per cell. The value obtained for the distance to the lowest polymorph of the same formula is 0 meV per atom. For the density of states at the Fermi level, the calculation gives 7.40 states/eV/f.u.

It has space group P4/mbm (No. 127), with a = 10.3497 Å, b = 10.3497 Å, c = 3.8000 Å, α = 90.00°, β = 90.00° and γ = 90.00°. The distinct sites, in fractional coordinates, are Ba at (0.0000, 0.0000, 0.0000), Na at (0.1865, 0.3135, 0.5000) and La at (0.1027, 0.6027, 0.0000).

[5]
The following is a DFT calculation (PBE) of crystalline YAlFe at its relaxed geometry.

The value obtained for the formation energy is -0.296 eV per atom. As for the uncorrected energy: -78.23 eV per cell. For the density of states at the Fermi level, the calculation gives 2.91 states/eV/f.u.

It has space group Imma (No. 74), with a = 5.3385 Å, b = 5.4838 Å, c = 7.4087 Å, α = 90.00°, β = 90.00° and γ = 90.00°. The distinct sites, in fractional coordinates, are Y at (0.0000, 0.2500, 0.1151), Al at (0.0000, 0.0000, 0.5000) and Fe at (0.2500, 0.2500, 0.7500).

[6]
The following is a DFT calculation (PBE) of crystalline NdAgSbTe3 at its relaxed geometry.

The value obtained for the energy relative to the elements, uncorrected is -52 kJ/mol of atoms. As for the uncorrected energy: -48.84 eV per cell. For the density of states at the Fermi level, the calculation gives 2.33 states/eV/f.u.

It has space group P2_1/m (No. 11), with a = 7.6402 Å, b = 4.2308 Å, c = 12.5547 Å, α = 90.00°, β = 90.66° and γ = 90.00°. The distinct sites, in fractional coordinates, are Nd at (0.1161, 0.2500, 0.2254), Ag at (0.1111, 0.2500, 0.9524), Sb at (0.4748, 0.7500, 0.6638), Te at (0.1892, 0.2500, 0.7339), Te at (0.2807, 0.7500, 0.0682) and Te at (0.2905, 0.7500, 0.4197).

[7]
The following is a DFT calculation (PBE) of crystalline Tc2SbI at its relaxed geometry.

The value obtained for the energy relative to the elements, uncorrected is 96 kJ/mol of atoms. As for the uncorrected energy: -89.73 eV per cell. The value obtained for the distance to the lowest polymorph of the same formula is 314 meV per atom. For the density of states at the Fermi level, the calculation gives 3.47 states/eV/f.u.

It has space group I-42d (No. 122), with a = 6.0177 Å, b = 6.0177 Å, c = 11.7097 Å, α = 90.00°, β = 90.00° and γ = 90.00°. The distinct sites, in fractional coordinates, are Tc at (0.2463, 0.2500, 0.1250), Sb at (0.0000, 0.0000, 0.5000) and I at (0.0000, 0.0000, 0.0000).

[8]
The following is a DFT calculation (PBE) of crystalline Pm2Al5Ni3 at its relaxed geometry.

The value obtained for the formation energy is -0.531 eV per atom. As for the uncorrected energy: -203.48 eV per cell. For the density of states at the Fermi level, the calculation gives 6.11 states/eV/f.u.

It has space group Cmc2_1 (No. 36), with a = 4.1963 Å, b = 24.9369 Å, c = 6.6272 Å, α = 90.00°, β = 90.00° and γ = 90.00°. The distinct sites, in fractional coordinates, are Pm at (0.0000, 0.0219, 0.0000), Pm at (0.0000, 0.3251, 0.0501), Al at (0.0000, 0.0993, 0.3663), Al at (0.0000, 0.2078, 0.8626), Al at (0.0000, 0.2130, 0.2573), Al at (0.0000, 0.3702, 0.5301), Al at (0.0000, 0.4432, 0.1690), Ni at (0.0000, 0.1095, 0.7501), Ni at (0.0000, 0.2723, 0.5612) and Ni at (0.0000, 0.4490, 0.7880).

no.,spin magnetization (μB/atom)
1,0.000
2,0.000
3,0.000
4,0.000
5,0.532
6,0.000
7,0.000
8,0.000